Here is a geometry-optimized Sr2InWO6 structure from the Alexandria database. Energies are from GGA+U.

a = 8.2575 Å, b = 8.2575 Å, c = 8.2575 Å
α = 90.00°, β = 90.00°, γ = 90.00°
With the nearest neighbours (Å) after each atom.
Space group Fm-3m (No. 225)
Symmetry-distinct sites (fractional):
1 Sr 0.2500 0.2500 0.2500 (multiplicity 8)  12 O 2.92
2 In 0.0000 0.0000 0.0000 (multiplicity 4)  6 O 2.14
3 W 0.0000 0.0000 0.5000 (multiplicity 4)  6 O 1.99
4 O 0.0000 0.0000 0.2586 (multiplicity 24)  1 W 1.99, 1 In 2.14

Values from the calculation:
* M_tot: 1.00 μB per formula unit
* relative energy among the computed polymorphs: 130 kJ/mol of formula units